Record 1
Computed, not measured: an optimized crystal structure of Li2Ca8Ga at the PBE level of DFT.

Cell and atoms, written as extended XYZ:
```
11
Lattice="-1.238 5.179 -1.266 -9.032 -1.855 1.246 5.738 0.242 7.207" Properties=species:S:1:pos:R:3 pbc="T T T"
Li -4.278 -0.175 3.468
Li -0.255 3.741 3.719
Ca -6.990 1.829 2.489
Ca -1.624 0.898 5.261
Ca 0.157 0.497 1.879
Ca -2.846 -0.584 0.393
Ca -4.691 3.069 5.308
Ca -2.909 2.667 1.926
Ca 2.457 1.736 4.698
Ca -1.687 4.150 6.794
Ga -0.619 2.589 -0.633
```

Calculated values
total energy = -2.0838 eV/atom
symmetry = No. 71
energy of formation from the pure elements = -0.005 eV/atom
V = 34.58 A^3/atom
Fermi-level density of states = 9.0 states/eV per cell
distance to the lowest polymorph of the same formula = 0.0510 eV per atom


Record 2
Computed, not measured: an optimized crystal structure of Li12CaGa6 at the PBE level of DFT.

Cell and atoms, written as extended XYZ:
```
19
Lattice="-6.067 -2.509 -3.184 3.724 -6.081 1.547 -2.339 2.246 6.537" Properties=species:S:1:pos:R:3 pbc="T T T"
Li -6.147 -1.784 0.611
Li -4.644 -4.636 2.095
Li -3.562 -3.256 4.914
Li -2.878 -0.673 1.433
Li -1.120 -3.088 -0.014
Li -0.038 -1.709 2.805
Li -0.891 -1.324 6.228
Li 0.016 -6.409 0.510
Li 1.465 -4.561 4.289
Li -3.790 -5.021 -1.328
Li -4.697 0.065 4.390
Li -1.803 -5.672 3.467
Ca 0.000 0.000 0.000
Ga -3.675 -2.866 0.317
Ga -2.295 -1.105 3.916
Ga -0.050 -4.188 2.068
Ga -2.387 -5.239 0.984
Ga -1.006 -3.479 4.583
Ga -4.631 -2.156 2.831
```

Calculated values
total energy = -2.4143 eV/atom
symmetry = No. 166
energy of formation from the pure elements = -0.144 eV/atom
V = 18.48 A^3/atom
Fermi-level density of states = 6.7 states/eV per cell


Record 3
Computed, not measured: an optimized crystal structure of Li7CaGa2 at the PBE level of DFT.

Cell and atoms, written as extended XYZ:
```
10
Lattice="-2.544 -1.776 1.370 3.196 1.195 7.484 -5.139 6.262 -1.425" Properties=species:S:1:pos:R:3 pbc="T T T"
Li 0.361 2.919 4.454
Li -2.304 4.539 1.605
Li -2.961 1.788 1.019
Li -1.527 3.893 6.410
Li -0.605 0.356 3.537
Li -3.882 5.325 3.892
Li -2.244 2.840 3.715
Ca 0.000 0.000 0.000
Ga 0.287 1.302 6.420
Ga -4.775 4.379 1.010
```

Calculated values
total energy = -2.1767 eV/atom
symmetry = No. 65
energy of formation from the pure elements = -0.032 eV/atom
V = 21.97 A^3/atom
Fermi-level density of states = 4.6 states/eV per cell


Record 4
Computed, not measured: an optimized crystal structure of Li2CaMgGa at the PBE level of DFT.

Cell and atoms, written as extended XYZ:
```
5
Lattice="-0.497 1.482 -4.800 -5.526 0.614 0.762 0.726 4.794 1.405" Properties=species:S:1:pos:R:3 pbc="T T T"
Ca -2.763 0.307 0.381
Mg -2.649 3.445 -1.316
Ga 0.000 0.000 0.000
Li 0.363 2.397 0.703
Li -0.249 0.741 -2.400
```

Calculated values
total energy = -1.9747 eV/atom
symmetry = No. 123
energy of formation from the pure elements = 0.115 eV/atom
V = 28.60 A^3/atom
Fermi-level density of states = 3.5 states/eV per cell
distance to the lowest polymorph of the same formula = 0.1505 eV per atom